# Ho3Tm2Co2 PBE-GGA optimized geometry
data_Ho3Tm2Co2
_chemical_formula_sum 'Ho6 Tm4 Co4'
_symmetry_space_group_name_H-M 'C 1 2/m 1'
_symmetry_Int_Tables_number 12
_symmetry_space_group_name_Hall '-C 2y'
_cell_length_a 11.8048
_cell_length_b 3.6437
_cell_length_c 8.7255
_cell_angle_alpha 90.00
_cell_angle_beta 116.16
_cell_angle_gamma 90.00
loop_
_atom_site_label
_atom_site_fract_x
_atom_site_fract_y
_atom_site_fract_z
Ho1 0.0000 0.0000 0.0000
Ho2 0.1174 0.0000 0.4281
Tm1 0.1718 0.5000 0.8057
Co1 0.1788 0.5000 0.2397
# * total energy: -5.455 eV per atom
# * DFT formation energy: -0.19 eV per atom